Here is a relaxed BaMo2As crystal from Alexandria. Energies are from GGA-PBE.

Values from the calculation:
VASP energy   -27.68 eV per formula unit
Total magnetic moment   0.0 μB per formula unit

The structure in extended XYZ format:
```
4
Lattice="-0.0025 1.4551 3.8264 1.3636 -2.9560 1.1250 6.7251 1.5033 -0.5673" Properties=species:S:1:pos:R:3 pbc="T T T"
As 3.4241 -0.3833 0.1480
Mo 2.3628 -2.5724 0.9798
Mo 1.9210 -0.2649 2.2918
Ba 5.7863 -0.4593 2.3682
```